VASP calculation (PBE-GGA) on PrI2Cl after structural relaxation.

Cell lengths 8.3292, 8.3292, 8.3292 Å; angles 148.09, 51.07, 141.21 degrees
Positions (direct):
Pr: 0.0000 0.0000 0.0000
I: 0.1441 0.4987 0.6454
I: 0.8533 0.4987 0.3546
Cl: 0.4998 0.4998 0.0000

Output
Magnetic moment, μB/f.u.: 0.00
Raw formation energy, eV per atom: -1.68
Polymorph energy (0 for the lowest one), eV per atom: 0.037
Symmetry: Imm2 (44)